Record 1
Tb3PrY5 | PBE-GGA | optimized geometry

Cell lengths 10.058, 10.058, 11.415 Å; angles 111.79, 111.79, 35.27 degrees
Atoms (fractional coordinates):
Tb1 0.000 0.000 0.000
Tb2 0.000 0.000 0.500
Tb3 0.057 0.587 0.635
Tb4 0.413 0.943 0.865
Tb5 0.587 0.057 0.135
Tb6 0.943 0.413 0.365
Pr1 0.071 0.929 0.750
Pr2 0.929 0.071 0.250
Y1 0.088 0.575 0.970
Y2 0.091 0.583 0.303
Y3 0.417 0.909 0.197
Y4 0.425 0.912 0.530
Y5 0.435 0.565 0.250
Y6 0.565 0.435 0.750
Y7 0.575 0.088 0.470
Y8 0.583 0.091 0.803
Y9 0.909 0.417 0.697
Y10 0.912 0.425 0.030

Values from the calculation:
The value obtained for the theoretical density is 5.7 Mg/m³. The calculation puts the formation energy at 2.883 eV/f.u. The value obtained for the spin magnetization is 0.0 μB/cell.

---

Record 2
CrAs2P | PBE-GGA | optimized geometry

Cell lengths 4.265, 4.350, 4.350 Å; angles 60.75, 90.00, 90.00 degrees
Atoms (fractional coordinates):
Cr1 0.000 0.000 0.000
As1 0.000 0.361 0.361
As2 0.500 0.799 0.799
P1 0.500 0.133 0.133

Values from the calculation:
The value obtained for the theoretical density is 5.5 Mg/m³. The calculation puts the formation energy at 0.514 eV/f.u. The value obtained for the spin magnetization is 1.1 μB/cell.

---

Record 3
TmGa7Au4 | PBE-GGA | optimized geometry

Cell lengths 6.256, 6.256, 9.088 Å; angles 118.46, 118.46, 52.09 degrees
Atoms (fractional coordinates):
Tm1 0.000 0.000 0.000
Ga1 0.077 0.077 0.407
Ga2 0.291 0.291 0.358
Ga3 0.301 0.301 0.082
Ga4 0.500 0.500 0.000
Ga5 0.699 0.699 0.918
Ga6 0.709 0.709 0.642
Ga7 0.923 0.923 0.593
Au1 0.195 0.195 0.749
Au2 0.427 0.427 0.683
Au3 0.573 0.573 0.317
Au4 0.805 0.805 0.251

Values from the calculation:
The value obtained for the theoretical density is 10.1 Mg/m³. The calculation puts the formation energy at -2.160 eV/f.u. The value obtained for the spin magnetization is 0.0 μB/cell.

---

Record 4
PrCuGe3 | PBE-GGA | optimized geometry

Cell lengths 5.643, 6.131, 5.830 Å; angles 90.00, 90.69, 90.00 degrees
Atoms (fractional coordinates):
Pr1 0.121 0.250 0.263
Pr2 0.879 0.750 0.737
Cu1 0.371 0.750 0.494
Cu2 0.629 0.250 0.506
Ge1 0.054 0.750 0.217
Ge2 0.376 0.035 0.798
Ge3 0.376 0.465 0.798
Ge4 0.624 0.535 0.202
Ge5 0.624 0.965 0.202
Ge6 0.946 0.250 0.783

Values from the calculation:
The value obtained for the theoretical density is 7.0 Mg/m³. The calculation puts the formation energy at -1.731 eV/f.u. The value obtained for the spin magnetization is 0.0 μB/cell.